No. 1
Here is a relaxed Na2Pd2S3 crystal from the Open Quantum Materials Database. Energies are from GGA-PBE.

Geometry as POSCAR:
```
Na2Pd2S3
1.0
3.632 2.097 4.175
-3.632 2.097 4.175
0.000 -4.194 4.175
Na Pd S
2 2 3
Cartesian
0.000 0.000 0.000
0.000 0.000 6.263
0.000 0.000 2.926
0.000 0.000 9.600
-3.632 0.000 6.263
-1.816 1.048 2.088
1.816 1.048 2.088
```

Values from the calculation:
excess energy over the best structure of this formula in the dataset = 219 meV per atom


No. 2
Here is a relaxed NaSbPdS3 crystal from the Open Quantum Materials Database. Energies are from GGA-PBE.

Geometry as POSCAR:
```
NaSbPdS3
1.0
8.049 0.000 0.000
0.000 4.003 0.000
-1.411 0.000 8.894
Na Sb Pd S
2 2 2 6
Cartesian
1.108 1.001 1.903
5.530 3.002 6.991
1.465 3.002 7.659
5.173 1.001 1.235
-0.109 1.001 5.129
6.747 3.002 3.765
-0.322 1.001 7.728
0.966 3.002 4.492
3.110 3.002 1.258
3.528 1.001 7.636
5.672 1.001 4.402
6.960 3.002 1.166
```

Values from the calculation:
VASP energy = -4.22 eV/atom


No. 3
Here is a relaxed NaScPdS3 crystal from the Open Quantum Materials Database. Energies are from GGA-PBE.

Geometry as POSCAR:
```
NaScPdS3
1.0
7.690 0.000 0.000
0.000 3.717 0.000
-2.222 0.000 8.738
Na Sc Pd S
2 2 2 6
Cartesian
0.987 0.929 1.974
4.481 2.788 6.764
0.739 2.788 7.420
4.729 0.929 1.318
-0.388 0.929 5.039
5.856 2.788 3.700
-1.074 0.929 7.360
0.963 2.788 4.765
2.945 2.788 1.239
2.523 0.929 7.499
4.504 0.929 3.973
6.542 2.788 1.378
```

Values from the calculation:
excess energy over the best structure of this formula in the dataset = 0 meV per atom